P) Entry from Alexandria via LeMat-Bulk: MgAu3Se after structural relaxation (PBE).

a = 5.0572 Å, b = 5.0572 Å, c = 5.0572 Å
α = 90.00°, β = 90.00°, γ = 90.00°
With the nearest neighbours (Å) after each atom.
Fractional positions:
Mg1 0.0000 0.0000 0.0000  12 Au 3.58
Au1 0.0000 0.5000 0.5000  2 Se 2.53
Au2 0.5000 0.0000 0.5000  2 Se 2.53
Au3 0.5000 0.5000 0.0000  2 Se 2.53
Se1 0.5000 0.5000 0.5000  6 Au 2.53

Output
Crystal system = cubic
Calculated volume = 129 Å³/cell

***

Q) Entry from Alexandria via LeMat-Bulk: MgAu3Se after structural relaxation (PBE).

a = 4.9171 Å, b = 4.9171 Å, c = 4.9171 Å
α = 90.00°, β = 90.00°, γ = 90.00°
With the nearest neighbours (Å) after each atom.
Fractional positions:
Mg1 0.0000 0.0000 0.0000  6 Au 2.46
Au1 0.0000 0.0000 0.5000  2 Mg 2.46
Au2 0.0000 0.5000 0.0000  2 Mg 2.46
Au3 0.5000 0.0000 0.0000  2 Mg 2.46
Se1 0.5000 0.5000 0.5000  12 Au 3.48

Output
Crystal system = cubic
Calculated volume = 119 Å³/cell

***

The computed energies, referenced to the most stable structure and given in meV per atom, are P) 0; Q) 260.

***

P) Entry from Alexandria via LeMat-Bulk: Mg3AuSe after structural relaxation (PBE).

a = 4.9424 Å, b = 4.9424 Å, c = 4.9424 Å
α = 90.00°, β = 90.00°, γ = 90.00°
With the nearest neighbours (Å) after each atom.
Fractional positions:
Mg1 0.0000 0.0000 0.5000  2 Se 2.47
Mg2 0.0000 0.5000 0.0000  2 Se 2.47
Mg3 0.5000 0.0000 0.0000  2 Se 2.47
Au1 0.5000 0.5000 0.5000  12 Mg 3.49
Se1 0.0000 0.0000 0.0000  6 Mg 2.47

Output
Crystal system = cubic
Calculated volume = 121 Å³/cell

***

Q) Entry from Alexandria via LeMat-Bulk: Mg3AuSe after structural relaxation (PBE).

a = 5.0748 Å, b = 5.0748 Å, c = 5.0748 Å
α = 90.00°, β = 90.00°, γ = 90.00°
With the nearest neighbours (Å) after each atom.
Fractional positions:
Mg1 0.0000 0.0000 0.5000  2 Au 2.54
Mg2 0.0000 0.5000 0.0000  2 Au 2.54
Mg3 0.5000 0.0000 0.0000  2 Au 2.54
Au1 0.0000 0.0000 0.0000  6 Mg 2.54
Se1 0.5000 0.5000 0.5000  12 Mg 3.59

Output
Crystal system = cubic
Calculated volume = 131 Å³/cell

***

The computed energies, referenced to the most stable structure and given in meV per atom, are P) 142; Q) 0.

***

P) Entry from Alexandria via LeMat-Bulk: MgSi2Au2 after structural relaxation (PBE).

a = 7.2295 Å, b = 7.2295 Å, c = 3.5055 Å
α = 90.00°, β = 90.00°, γ = 90.00°
With the nearest neighbours (Å) after each atom.
Fractional positions:
Mg1 0.0000 0.0000 0.0000  4 Au 2.79
Mg2 0.5000 0.5000 0.0000  4 Au 2.79
Si1 0.1701 0.3299 0.5000  6 Au 2.61-2.86
Si2 0.3299 0.8299 0.5000  6 Au 2.61-2.86
Si3 0.6701 0.1701 0.5000  6 Au 2.61-2.86
Si4 0.8299 0.6701 0.5000  6 Au 2.61-2.86
Au1 0.1405 0.6405 0.0000  6 Si 2.61-2.86, 2 Mg 2.79, 1 Au 2.87
Au2 0.3595 0.1405 0.0000  6 Si 2.61-2.86, 2 Mg 2.79, 1 Au 2.87
Au3 0.6405 0.8595 0.0000  6 Si 2.61-2.86, 2 Mg 2.79, 1 Au 2.87
Au4 0.8595 0.3595 0.0000  6 Si 2.61-2.86, 2 Mg 2.79, 1 Au 2.87

Output
Crystal system = tetragonal
Calculated volume = 183 Å³/cell

***

Q) Entry from Alexandria via LeMat-Bulk: MgSi2Au2 after structural relaxation (PBE).

a = 6.9869 Å, b = 6.9869 Å, c = 6.9869 Å
α = 149.14°, β = 149.14°, γ = 44.20°
With the nearest neighbours (Å) after each atom.
Fractional positions:
Mg1 0.0000 0.0000 0.0000  8 Au 2.96
Si1 0.2500 0.7500 0.5000  4 Si 2.63, 4 Au 2.65
Si2 0.7500 0.2500 0.5000  4 Si 2.63, 4 Au 2.65
Au1 0.3954 0.3954 0.0000  4 Si 2.65, 1 Au 2.71, 4 Mg 2.96
Au2 0.6046 0.6046 0.0000  4 Si 2.65, 1 Au 2.71, 4 Mg 2.96

Output
Crystal system = tetragonal
Calculated volume = 89 Å³/cell

***

The computed energies, referenced to the most stable structure and given in meV per atom, are P) 179; Q) 0.

***

P) Entry from Alexandria via LeMat-Bulk: Mg3SiAu after structural relaxation (PBE).

a = 5.0238 Å, b = 5.0238 Å, c = 5.0238 Å
α = 90.00°, β = 90.00°, γ = 90.00°
With the nearest neighbours (Å) after each atom.
Fractional positions:
Mg1 0.0000 0.0000 0.5000  2 Au 2.51
Mg2 0.0000 0.5000 0.0000  2 Au 2.51
Mg3 0.5000 0.0000 0.0000  2 Au 2.51
Si1 0.5000 0.5000 0.5000  12 Mg 3.55
Au1 0.0000 0.0000 0.0000  6 Mg 2.51

Output
Crystal system = cubic
Calculated volume = 127 Å³/cell

***

Q) Entry from Alexandria via LeMat-Bulk: Mg3SiAu after structural relaxation (PBE).

a = 4.9490 Å, b = 4.9490 Å, c = 4.9490 Å
α = 90.00°, β = 90.00°, γ = 90.00°
With the nearest neighbours (Å) after each atom.
Fractional positions:
Mg1 0.0000 0.0000 0.5000  2 Si 2.47
Mg2 0.0000 0.5000 0.0000  2 Si 2.47
Mg3 0.5000 0.0000 0.0000  2 Si 2.47
Si1 0.0000 0.0000 0.0000  6 Mg 2.47
Au1 0.5000 0.5000 0.5000  12 Mg 3.50

Output
Crystal system = cubic
Calculated volume = 121 Å³/cell

***

The computed energies, referenced to the most stable structure and given in meV per atom, are P) 95; Q) 0.